[1]
Here is a geometry-optimized Co5Ni8Rh structure from Alexandria via LeMat-Bulk. Energies are from PBE.

abc: 5.9193 5.9193 6.1756
angles: 116.44 116.44 64.63
With the nearest neighbours (Å) after each atom.
Atoms (fractional coordinates):
1 Co 0.0000 0.0000 0.0000  8 Ni 2.32-2.51, 2 Co 2.43
2 Co 0.2010 0.0278 0.7489  2 Co 2.31-2.43, 7 Ni 2.37-2.55
3 Co 0.2990 0.5759 0.6264  2 Co 2.31-2.46, 6 Ni 2.35-2.50
4 Co 0.4241 0.7010 0.3736  2 Co 2.31-2.46, 6 Ni 2.35-2.50
5 Co 0.9722 0.7990 0.2511  2 Co 2.31-2.43, 7 Ni 2.37-2.55
6 Ni 0.1097 0.5145 0.8520  4 Ni 2.34-2.52, 4 Co 2.35-2.55
7 Ni 0.1705 0.1770 0.4369  5 Co 2.32-2.54, 4 Ni 2.38-2.52
8 Ni 0.2442 0.3338 0.1744  4 Ni 2.34-2.50, 5 Co 2.41-2.51
9 Ni 0.4855 0.8903 0.1480  4 Ni 2.34-2.52, 4 Co 2.35-2.55
10 Ni 0.5459 0.2088 0.8088  5 Ni 2.34-2.50, 3 Co 2.40-2.51
11 Ni 0.6662 0.7558 0.8256  4 Ni 2.34-2.50, 5 Co 2.41-2.51
12 Ni 0.7912 0.4541 0.1912  5 Ni 2.34-2.50, 3 Co 2.40-2.51
13 Ni 0.8230 0.8295 0.5631  5 Co 2.32-2.54, 4 Ni 2.38-2.52
14 Rh 0.7241 0.2759 0.5000  4 Co 2.60-2.66, 8 Ni 2.62-2.78

Computed properties:
ρ in g cm⁻³: 8.7
Space group: C2
DOS(E_F) in states/eV per atom: 1.193
ΔE_f in eV per atom: 0.21
Crystal system: monoclinic

=====

[2]
Here is a geometry-optimized Ba2Cd structure from Alexandria via LeMat-Bulk. Energies are from PBE.

abc: 11.5989 11.5989 11.5989
angles: 60.00 60.00 60.00
With the nearest neighbours (Å) after each atom.
Atoms (fractional coordinates):
1 Ba 0.0000 0.0000 0.0000  6 Cd 3.66
2 Ba 0.0000 0.0000 0.5000  6 Cd 3.66
3 Ba 0.0000 0.5000 0.0000  6 Cd 3.66
4 Ba 0.1845 0.1845 0.5655  2 Cd 3.68
5 Ba 0.1845 0.5655 0.1845  2 Cd 3.68
6 Ba 0.1845 0.5655 0.5655  2 Cd 3.68
7 Ba 0.4345 0.4345 0.8155  2 Cd 3.68
8 Ba 0.4345 0.8155 0.4345  2 Cd 3.68
9 Ba 0.4345 0.8155 0.8155  2 Cd 3.68
10 Ba 0.5000 0.0000 0.0000  6 Cd 3.66
11 Ba 0.5655 0.1845 0.1845  2 Cd 3.68
12 Ba 0.5655 0.1845 0.5655  2 Cd 3.68
13 Ba 0.5655 0.5655 0.1845  2 Cd 3.68
14 Ba 0.8155 0.4345 0.4345  2 Cd 3.68
15 Ba 0.8155 0.4345 0.8155  2 Cd 3.68
16 Ba 0.8155 0.8155 0.4345  2 Cd 3.68
17 Cd 0.1549 0.7817 0.7817  6 Ba 3.66-3.68
18 Cd 0.2183 0.2183 0.2183  6 Ba 3.66-3.68
19 Cd 0.2183 0.2183 0.8451  6 Ba 3.66-3.68
20 Cd 0.2183 0.8451 0.2183  6 Ba 3.66-3.68
21 Cd 0.7817 0.1549 0.7817  6 Ba 3.66-3.68
22 Cd 0.7817 0.7817 0.1549  6 Ba 3.66-3.68
23 Cd 0.7817 0.7817 0.7817  6 Ba 3.66-3.68
24 Cd 0.8451 0.2183 0.2183  6 Ba 3.66-3.68

Computed properties:
ρ in g cm⁻³: 4.7
Space group: Fd-3m
DOS(E_F) in states/eV per atom: 1.531
ΔE_f in eV per atom: -0.16
Crystal system: cubic

=====

[3]
Here is a geometry-optimized TiCu2Pd2 structure from Alexandria via LeMat-Bulk. Energies are from PBE.

abc: 4.6436 4.6436 5.9880
angles: 128.17 128.17 47.82
With the nearest neighbours (Å) after each atom.
Atoms (fractional coordinates):
1 Ti 0.0000 0.0000 0.0000  6 Pd 2.63-2.79, 6 Cu 2.71-2.76
2 Cu 0.1965 0.1965 0.5914  3 Cu 2.63-2.72, 6 Pd 2.68-2.78, 3 Ti 2.71-2.76
3 Cu 0.8035 0.8035 0.4086  3 Cu 2.63-2.72, 6 Pd 2.68-2.78, 3 Ti 2.71-2.76
4 Pd 0.4075 0.4075 0.2019  3 Ti 2.63-2.79, 6 Cu 2.68-2.78, 3 Pd 2.76-2.79
5 Pd 0.5925 0.5925 0.7981  3 Ti 2.63-2.79, 6 Cu 2.68-2.78, 3 Pd 2.76-2.79

Computed properties:
ρ in g cm⁻³: 9.1
Space group: C2/m
DOS(E_F) in states/eV per atom: 0.535
ΔE_f in eV per atom: -0.37
Crystal system: monoclinic

=====

[4]
Here is a geometry-optimized Ca6PPb3 structure from Alexandria via LeMat-Bulk. Energies are from PBE.

abc: 9.3134 12.2403 5.2611
angles: 90.00 90.00 90.00
With the nearest neighbours (Å) after each atom.
Atoms (fractional coordinates):
1 Ca 0.0222 0.2355 0.0000  1 P 2.89, 3 Pb 3.11-3.14
2 Ca 0.1583 0.0848 0.5000  2 P 3.19, 1 Pb 3.35, 2 Ca 3.45
3 Ca 0.1946 0.4139 0.5000  1 P 3.03, 2 Pb 3.36
4 Ca 0.3054 0.9139 0.0000  1 P 3.03, 2 Pb 3.36
5 Ca 0.3417 0.5848 0.0000  2 P 3.19, 1 Pb 3.35, 2 Ca 3.45
6 Ca 0.4778 0.7355 0.5000  1 P 2.89, 3 Pb 3.11-3.14
7 Ca 0.5222 0.2645 0.5000  1 P 2.89, 3 Pb 3.11-3.14
8 Ca 0.6583 0.4152 0.0000  2 P 3.19, 1 Pb 3.35, 2 Ca 3.45
9 Ca 0.6946 0.0861 0.0000  1 P 3.03, 2 Pb 3.36
10 Ca 0.8054 0.5861 0.5000  1 P 3.03, 2 Pb 3.36
11 Ca 0.8417 0.9152 0.5000  2 P 3.19, 1 Pb 3.35, 2 Ca 3.45
12 Ca 0.9778 0.7645 0.0000  1 P 2.89, 3 Pb 3.11-3.14
13 P 0.0000 0.0000 0.0000  8 Ca 2.89-3.19
14 P 0.5000 0.5000 0.5000  8 Ca 2.89-3.19
15 Pb 0.0000 0.5000 0.0000  8 Ca 3.24-3.36
16 Pb 0.1422 0.7131 0.5000  3 Ca 3.11-3.14
17 Pb 0.3578 0.2131 0.0000  3 Ca 3.11-3.14
18 Pb 0.5000 0.0000 0.5000  8 Ca 3.24-3.36
19 Pb 0.6422 0.7869 0.0000  3 Ca 3.11-3.14
20 Pb 0.8578 0.2869 0.5000  3 Ca 3.11-3.14

Computed properties:
ρ in g cm⁻³: 4.9
Space group: Pnnm
DOS(E_F) in states/eV per atom: 0.402
ΔE_f in eV per atom: -0.61
Crystal system: orthorhombic